(1)
A relaxed structure of Rb2LiCd3Bi4, computed with PBE.

Structure (POSCAR):
```
Rb2LiCd3Bi4
1.0
5.145 0.000 0.000
0.000 5.145 0.000
0.000 0.000 12.570
Rb Li Cd Bi
2 1 3 4
Direct
0.000 0.500 0.241
0.500 0.000 0.759
0.500 0.500 0.000
0.000 0.000 0.000
0.000 0.500 0.643
0.500 0.000 0.357
0.000 0.000 0.500
0.000 0.500 0.875
0.500 0.000 0.125
0.500 0.500 0.500
```

Calculated values
Formation energy (eV per atom): -0.284
DFT total energy (eV/cell): -24.96
Total magnetic moment (μB per formula unit): 0.00



(2)
A relaxed structure of LiCdBiRh, computed with PBE.

Structure (POSCAR):
```
LiCdBiRh
1.0
6.688 0.000 0.000
0.000 6.688 0.000
0.000 0.000 6.688
Li Cd Bi Rh
4 4 4 4
Direct
0.000 0.000 0.000
0.000 0.500 0.500
0.500 0.000 0.500
0.500 0.500 0.000
0.250 0.250 0.750
0.250 0.750 0.250
0.750 0.250 0.250
0.750 0.750 0.750
0.250 0.250 0.250
0.250 0.750 0.750
0.750 0.250 0.750
0.750 0.750 0.250
0.000 0.000 0.500
0.000 0.500 0.000
0.500 0.000 0.000
0.500 0.500 0.500
```

Calculated values
Formation energy (eV per atom): -0.256
DFT total energy (eV/cell): -60.34
Total magnetic moment (μB per formula unit): 0.00



(3)
A relaxed structure of LiCd2BiS4, computed with PBE.

Structure (POSCAR):
```
LiCd2BiS4
1.0
5.931 0.000 0.000
0.000 5.931 0.000
0.000 0.000 12.035
Li Cd Bi S
2 4 2 8
Direct
0.000 0.000 0.000
0.500 0.500 0.500
0.000 0.500 0.250
0.000 0.500 0.750
0.500 0.000 0.250
0.500 0.000 0.750
0.000 0.000 0.500
0.500 0.500 0.000
0.231 0.231 0.874
0.231 0.769 0.126
0.269 0.269 0.374
0.269 0.731 0.626
0.731 0.269 0.626
0.731 0.731 0.374
0.769 0.231 0.126
0.769 0.769 0.874
```

Calculated values
E_form (uncorrected) (meV per atom): -631
DFT total energy (eV/cell): -58.37
Total magnetic moment (μB per formula unit): 0.00



(4)
A relaxed structure of LiCdBiSb, computed with PBE.

Structure (POSCAR):
```
LiCdBiSb
1.0
7.404 0.000 0.000
0.000 7.404 0.000
0.000 0.000 7.404
Li Cd Bi Sb
4 4 4 4
Direct
0.000 0.000 0.000
0.000 0.500 0.500
0.500 0.000 0.500
0.500 0.500 0.000
0.000 0.000 0.500
0.000 0.500 0.000
0.500 0.000 0.000
0.500 0.500 0.500
0.250 0.250 0.750
0.250 0.750 0.250
0.750 0.250 0.250
0.750 0.750 0.750
0.250 0.250 0.250
0.250 0.750 0.750
0.750 0.250 0.750
0.750 0.750 0.250
```

Calculated values
E_form (uncorrected) (meV per atom): -61
DFT total energy (eV/cell): -44.30
Total magnetic moment (μB per formula unit): 0.00



(5)
A relaxed structure of LiSmCdBi, computed with PBE.

Structure (POSCAR):
```
LiSmCdBi
1.0
7.480 0.000 0.000
0.000 7.480 0.000
0.000 0.000 7.480
Li Sm Cd Bi
4 4 4 4
Direct
0.000 0.000 0.000
0.000 0.500 0.500
0.500 0.000 0.500
0.500 0.500 0.000
0.000 0.000 0.500
0.000 0.500 0.000
0.500 0.000 0.000
0.500 0.500 0.500
0.250 0.250 0.250
0.250 0.750 0.750
0.750 0.250 0.750
0.750 0.750 0.250
0.250 0.250 0.750
0.250 0.750 0.250
0.750 0.250 0.250
0.750 0.750 0.750
```

Calculated values
Formation energy (eV per atom): -0.384
DFT total energy (eV/cell): -51.86
Total magnetic moment (μB per formula unit): 0.00



(6)
A relaxed structure of LiCdSnBi, computed with PBE.

Structure (POSCAR):
```
LiCdSnBi
1.0
7.400 0.000 0.000
0.000 7.400 0.000
0.000 0.000 7.400
Li Cd Sn Bi
4 4 4 4
Direct
0.000 0.000 0.000
0.000 0.500 0.500
0.500 0.000 0.500
0.500 0.500 0.000
0.000 0.000 0.500
0.000 0.500 0.000
0.500 0.000 0.000
0.500 0.500 0.500
0.250 0.250 0.750
0.250 0.750 0.250
0.750 0.250 0.250
0.750 0.750 0.750
0.250 0.250 0.250
0.250 0.750 0.750
0.750 0.250 0.750
0.750 0.750 0.250
```

Calculated values
Formation energy (eV per atom): -0.089
DFT total energy (eV/cell): -44.27
Total magnetic moment (μB per formula unit): 0.00



(7)
A relaxed structure of SrLiCdBi, computed with PBE.

Structure (POSCAR):
```
SrLiCdBi
1.0
7.768 0.000 0.000
0.000 7.768 0.000
0.000 0.000 7.768
Sr Li Cd Bi
4 4 4 4
Direct
0.000 0.000 0.000
0.000 0.500 0.500
0.500 0.000 0.500
0.500 0.500 0.000
0.000 0.000 0.500
0.000 0.500 0.000
0.500 0.000 0.000
0.500 0.500 0.500
0.250 0.250 0.750
0.250 0.750 0.250
0.750 0.250 0.250
0.750 0.750 0.750
0.250 0.250 0.250
0.250 0.750 0.750
0.750 0.250 0.750
0.750 0.750 0.250
```

Calculated values
Formation energy (eV per atom): -0.478
DFT total energy (eV/cell): -41.22
Total magnetic moment (μB per formula unit): 0.00



(8)
A relaxed structure of Sr3Li2Cd2Bi4, computed with PBE.

Structure (POSCAR):
```
Sr3Li2Cd2Bi4
1.0
4.930 0.000 0.000
-2.465 4.270 0.000
0.000 0.000 16.542
Sr Li Cd Bi
3 2 2 4
Direct
0.000 0.000 0.000
0.000 0.000 0.260
0.000 0.000 0.740
0.333 0.667 0.130
0.667 0.333 0.870
0.333 0.667 0.564
0.667 0.333 0.436
0.333 0.667 0.377
0.333 0.667 0.871
0.667 0.333 0.129
0.667 0.333 0.623
```

Calculated values
Formation energy (eV per atom): -0.621
DFT total energy (eV/cell): -33.06
Total magnetic moment (μB per formula unit): 0.00



Repeat the eighth record exactly.
A relaxed structure of Sr3Li2Cd2Bi4, computed with PBE.

Structure (POSCAR):
```
Sr3Li2Cd2Bi4
1.0
4.930 0.000 0.000
-2.465 4.270 0.000
0.000 0.000 16.542
Sr Li Cd Bi
3 2 2 4
Direct
0.000 0.000 0.000
0.000 0.000 0.260
0.000 0.000 0.740
0.333 0.667 0.130
0.667 0.333 0.870
0.333 0.667 0.564
0.667 0.333 0.436
0.333 0.667 0.377
0.333 0.667 0.871
0.667 0.333 0.129
0.667 0.333 0.623
```

Calculated values
Formation energy (eV per atom): -0.621
DFT total energy (eV/cell): -33.06
Total magnetic moment (μB per formula unit): 0.00